The following is a PBE-GGA calculation of a relaxed Tl2RuRhO4 crystal, from Alexandria via LeMat-Bulk.

Unit cell a=6.482 b=6.478 c=5.592 alpha=125.40 beta=125.43 gamma=90.00
Element x y z (fractional)
O1 0.739 0.620 0.718
O2 0.374 0.733 0.225
Ru1 0.736 0.736 0.472
Tl1 0.486 0.986 0.971
Rh1 0.986 0.486 0.972
O3 0.979 0.098 0.718
O4 0.852 0.493 0.226
Tl2 0.236 0.236 0.472

DOS at the Fermi energy   0.575 states/eV/atom
Total DFT energy (no corrections)   -45.2 eV per cell
E_form (uncorrected)   -503 meV/atom

The following is a PBE-GGA calculation of a relaxed Tl2RuRh2O6 crystal, from Alexandria via LeMat-Bulk.

Unit cell a=5.486 b=5.486 c=6.650 alpha=98.17 beta=98.17 gamma=120.36
Last column: magnetic moment on the atom in μB.
Element x y z (fractional)
Tl1 0.833 0.167 0.000  0.00
O1 0.274 0.274 0.345  0.08
Rh1 0.334 0.666 0.500  0.13
O2 0.949 0.618 0.346  0.07
O3 0.382 0.051 0.654  0.07
Ru1 0.000 0.000 0.500  1.23
O4 0.726 0.726 0.655  0.08
Tl2 0.167 0.833 0.000  0.00
Rh2 0.666 0.334 0.500  0.13
O5 0.051 0.382 0.654  0.07
O6 0.618 0.949 0.346  0.07

DOS at the Fermi energy   0.577 states/eV/atom
Total DFT energy (no corrections)   -66.0 eV per cell
E_form (uncorrected)   -689 meV/atom